[1]
# GGA-PBE Na3PuRh2O6, optimized geometry
# Theoretical density ... 6.961 g/cm³
# DOS at the Fermi energy ... 6.49 states/eV/cell
# Formation energy without anion corrections ... -1.56 eV/atom
# Energy ... -6.79 eV/atom
# Spin magnetization ... 4.7 μB per formula unit
data_Na3PuRh2O6
_space_group_name_H-M_alt 'C 1 2/m 1'
_space_group_IT_number 12
_space_group_name_Hall '-C 2y'
_cell_length_a 5.497
_cell_length_b 9.537
_cell_length_c 5.879
_cell_angle_alpha 90.00
_cell_angle_beta 107.87
_cell_angle_gamma 90.00
loop_
_atom_site_label
_atom_site_type_symbol
_atom_site_fract_x
_atom_site_fract_y
_atom_site_fract_z
Na1 Na 0.000 0.000 0.000
Na2 Na 0.000 0.327 0.000
Pu1 Pu 0.000 0.500 0.500
Rh1 Rh 0.000 0.167 0.500
O1 O 0.224 0.000 0.717
O2 O 0.245 0.326 0.715

---

[2]
# GGA-PBE Na2PuRhO6, optimized geometry
# Theoretical density ... 6.105 g/cm³
# DOS at the Fermi energy ... 5.01 states/eV/cell
# Formation energy without anion corrections ... -1.70 eV/atom
# Energy ... -7.10 eV/atom
# Spin magnetization ... 2.5 μB per formula unit
data_Na2PuRhO6
_space_group_name_H-M_alt 'P 4/m m m'
_space_group_IT_number 123
_space_group_name_Hall '-P 4 2'
_cell_length_a 5.684
_cell_length_b 5.684
_cell_length_c 4.115
_cell_angle_alpha 90.00
_cell_angle_beta 90.00
_cell_angle_gamma 90.00
loop_
_atom_site_label
_atom_site_type_symbol
_atom_site_fract_x
_atom_site_fract_y
_atom_site_fract_z
Na1 Na 0.000 0.500 0.000
Pu1 Pu 0.000 0.000 0.500
Rh1 Rh 0.500 0.500 0.500
O1 O 0.000 0.000 0.000
O2 O 0.250 0.250 0.500
O3 O 0.500 0.500 0.000

---

[3]
# GGA-PBE Na2PuRh2O6, optimized geometry
# Theoretical density ... 6.756 g/cm³
# DOS at the Fermi energy ... 9.44 states/eV/cell
# Formation energy without anion corrections ... -1.62 eV/atom
# Energy ... -7.21 eV/atom
# Spin magnetization ... 4.0 μB per formula unit
data_Na2PuRh2O6
_space_group_name_H-M_alt 'C 1 2/m 1'
_space_group_IT_number 12
_space_group_name_Hall '-C 2y'
_cell_length_a 5.373
_cell_length_b 9.543
_cell_length_c 6.035
_cell_angle_alpha 90.00
_cell_angle_beta 109.94
_cell_angle_gamma 90.00
loop_
_atom_site_label
_atom_site_type_symbol
_atom_site_fract_x
_atom_site_fract_y
_atom_site_fract_z
Na1 Na 0.000 0.172 0.000
Pu1 Pu 0.000 0.000 0.500
Rh1 Rh 0.000 0.335 0.500
O1 O 0.230 0.500 0.706
O2 O 0.247 0.179 0.701

---

[4]
# GGA-PBE NaPu2RhO8, optimized geometry
# Theoretical density ... 7.548 g/cm³
# DOS at the Fermi energy ... 11.84 states/eV/cell
# Formation energy without anion corrections ... -1.40 eV/atom
# Energy ... -7.82 eV/atom
# Spin magnetization ... 3.9 μB per formula unit
data_NaPu2RhO8
_space_group_name_H-M_alt 'P -3'
_space_group_IT_number 147
_space_group_name_Hall '-P 3'
_cell_length_a 5.9058
_cell_length_b 5.9058
_cell_length_c 5.4037
_cell_angle_alpha 90.00
_cell_angle_beta 90.00
_cell_angle_gamma 120.00
loop_
_atom_site_label
_atom_site_type_symbol
_atom_site_fract_x
_atom_site_fract_y
_atom_site_fract_z
Na1 Na 0.0000 0.0000 0.0000
Pu1 Pu 0.3333 0.6667 0.9324
Rh1 Rh 0.0000 0.0000 0.5000
O1 O 0.0596 0.3775 0.1669
O2 O 0.3333 0.6667 0.5945

---

[5]
# GGA-PBE NaPuRuO6, optimized geometry
# Theoretical density ... 6.026 g/cm³
# DOS at the Fermi energy ... 7.26 states/eV/cell
# Formation energy without anion corrections ... -1.76 eV/atom
# Energy ... -7.83 eV/atom
# Spin magnetization ... 3.0 μB per formula unit
data_NaPuRuO6
_space_group_name_H-M_alt 'P -3 1 c'
_space_group_IT_number 163
_space_group_name_Hall '-P 3 2c'
_cell_length_a 5.3265
_cell_length_b 5.3265
_cell_length_c 10.4088
_cell_angle_alpha 90.00
_cell_angle_beta 90.00
_cell_angle_gamma 120.00
loop_
_atom_site_label
_atom_site_type_symbol
_atom_site_fract_x
_atom_site_fract_y
_atom_site_fract_z
Na1 Na 0.0000 0.0000 0.0000
Pu1 Pu 0.3333 0.6667 0.2500
Ru1 Ru 0.3333 0.6667 0.7500
O1 O 0.0073 0.3661 0.6466

---

[6]
# GGA-PBE Na2PuRuO5, optimized geometry
# Theoretical density ... 7.151 g/cm³
# DOS at the Fermi energy ... 10.03 states/eV/cell
# Formation energy without anion corrections ... -1.37 eV/atom
# Energy ... -7.04 eV/atom
# Spin magnetization ... 5.6 μB per formula unit
data_Na2PuRuO5
_space_group_name_H-M_alt 'P 4/m b m'
_space_group_IT_number 127
_space_group_name_Hall '-P 4 2ab'
_cell_length_a 6.119
_cell_length_b 6.119
_cell_length_c 5.844
_cell_angle_alpha 90.00
_cell_angle_beta 90.00
_cell_angle_gamma 90.00
loop_
_atom_site_label
_atom_site_type_symbol
_atom_site_fract_x
_atom_site_fract_y
_atom_site_fract_z
Na1 Na 0.161 0.339 0.000
Pu1 Pu 0.000 0.000 0.500
Ru1 Ru 0.000 0.500 0.500
O1 O 0.000 0.000 0.000
O2 O 0.165 0.665 0.287